The following is a DFT calculation (PBE-GGA) of an optimized crystal structure of Cr2MoP.

DOS at the Fermi energy ... 0.85 states/eV/atom
Formation energy from the elements ... -0.4 eV/f.u.
Crystal system ... tetragonal

a b c (Å): 3.024 3.024 5.585
angles (deg): 90.00 90.00 90.00
Fractional positions:
Cr 0.000 0.000 0.000
Cr 0.500 0.500 0.203
Mo 0.000 0.000 0.520
P 0.500 0.500 0.752

***

The following is a DFT calculation (PBE-GGA) of an optimized crystal structure of CeCoN2.

DOS at the Fermi energy ... 1.11 states/eV/atom
Energy relative to the elements, uncorrected ... -525 meV/atom
Crystal system ... trigonal

a b c (Å): 3.704 3.704 16.774
angles (deg): 90.00 90.00 120.00
Fractional positions:
Ce 0.000 0.000 0.000
Ce 0.333 0.667 0.667
Ce 0.667 0.333 0.333
Co 0.000 0.000 0.500
Co 0.333 0.667 0.167
Co 0.667 0.333 0.833
N 0.000 0.000 0.395
N 0.000 0.000 0.605
N 0.333 0.667 0.061
N 0.333 0.667 0.272
N 0.667 0.333 0.728
N 0.667 0.333 0.939

***

The following is a DFT calculation (PBE-GGA) of an optimized crystal structure of Rb5In3Cl12.

DOS at the Fermi energy ... 0.55 states/eV/atom
Energy relative to the elements, uncorrected ... -1381 meV/atom
Crystal system ... cubic

a b c (Å): 16.236 16.236 16.236
angles (deg): 109.47 109.47 109.47
Fractional positions:
Rb 0.000 0.000 0.000
Rb 0.000 0.000 0.500
Rb 0.000 0.500 0.000
Rb 0.000 0.500 0.500
Rb 0.125 0.750 0.875
Rb 0.125 0.875 0.250
Rb 0.250 0.125 0.875
Rb 0.250 0.625 0.375
Rb 0.375 0.250 0.625
Rb 0.375 0.625 0.750
Rb 0.500 0.000 0.000
Rb 0.500 0.000 0.500
Rb 0.500 0.500 0.000
Rb 0.500 0.500 0.500
Rb 0.625 0.375 0.250
Rb 0.625 0.750 0.375
Rb 0.750 0.375 0.625
Rb 0.750 0.875 0.125
Rb 0.875 0.125 0.750
Rb 0.875 0.250 0.125
In 0.125 0.250 0.375
In 0.125 0.375 0.750
In 0.250 0.375 0.125
In 0.250 0.875 0.625
In 0.375 0.125 0.250
In 0.375 0.750 0.125
In 0.625 0.250 0.875
In 0.625 0.875 0.750
In 0.750 0.125 0.375
In 0.750 0.625 0.875
In 0.875 0.625 0.250
In 0.875 0.750 0.625
Cl 0.015 0.634 0.208
Cl 0.015 0.881 0.808
Cl 0.074 0.192 0.708
Cl 0.074 0.381 0.366
Cl 0.119 0.192 0.985
Cl 0.119 0.426 0.134
Cl 0.134 0.119 0.426
Cl 0.134 0.515 0.708
Cl 0.192 0.708 0.074
Cl 0.192 0.985 0.119
Cl 0.208 0.015 0.634
Cl 0.208 0.692 0.574
Cl 0.292 0.866 0.485
Cl 0.292 0.926 0.808
Cl 0.308 0.381 0.515
Cl 0.308 0.426 0.792
Cl 0.366 0.074 0.381
Cl 0.366 0.792 0.985
Cl 0.381 0.366 0.074
Cl 0.381 0.515 0.308
Cl 0.426 0.134 0.119
Cl 0.426 0.792 0.308
Cl 0.485 0.292 0.866
Cl 0.485 0.692 0.619
Cl 0.515 0.308 0.381
Cl 0.515 0.708 0.134
Cl 0.574 0.208 0.692
Cl 0.574 0.866 0.881
Cl 0.619 0.485 0.692
Cl 0.619 0.634 0.926
Cl 0.634 0.208 0.015
Cl 0.634 0.926 0.619
Cl 0.692 0.574 0.208
Cl 0.692 0.619 0.485
Cl 0.708 0.074 0.192
Cl 0.708 0.134 0.515
Cl 0.792 0.308 0.426
Cl 0.792 0.985 0.366
Cl 0.808 0.015 0.881
Cl 0.808 0.292 0.926
Cl 0.866 0.485 0.292
Cl 0.866 0.881 0.574
Cl 0.881 0.574 0.866
Cl 0.881 0.808 0.015
Cl 0.926 0.619 0.634
Cl 0.926 0.808 0.292
Cl 0.985 0.119 0.192
Cl 0.985 0.366 0.792

***

The following is a DFT calculation (PBE-GGA) of an optimized crystal structure of NdSmZrSc.

DOS at the Fermi energy ... 2.15 states/eV/atom
Formation energy from the elements ... 0.9 eV/f.u.
Crystal system ... cubic

a b c (Å): 7.693 7.693 7.693
angles (deg): 90.00 90.00 90.00
Fractional positions:
Nd 0.000 0.000 0.000
Nd 0.000 0.500 0.500
Nd 0.500 0.000 0.500
Nd 0.500 0.500 0.000
Sm 0.250 0.250 0.250
Sm 0.250 0.750 0.750
Sm 0.750 0.250 0.750
Sm 0.750 0.750 0.250
Zr 0.000 0.000 0.500
Zr 0.000 0.500 0.000
Zr 0.500 0.000 0.000
Zr 0.500 0.500 0.500
Sc 0.250 0.250 0.750
Sc 0.250 0.750 0.250
Sc 0.750 0.250 0.250
Sc 0.750 0.750 0.750

***

The following is a DFT calculation (PBE-GGA) of an optimized crystal structure of CdPb2Au.

DOS at the Fermi energy ... 0.27 states/eV/atom
Formation energy from the elements ... 0.1 eV/f.u.
Crystal system ... monoclinic

a b c (Å): 3.658 4.589 6.308
angles (deg): 90.00 96.00 90.00
Fractional positions:
Cd 0.000 0.000 0.000
Pb 0.392 0.500 0.738
Pb 0.608 0.500 0.262
Au 0.000 0.000 0.500

***

The following is a DFT calculation (PBE-GGA) of an optimized crystal structure of LaPrIrO6.

DOS at the Fermi energy ... 0.25 states/eV/atom
Energy relative to the elements, uncorrected ... -2129 meV/atom
Crystal system ... trigonal

a b c (Å): 5.754 5.754 9.711
angles (deg): 90.00 90.00 120.00
Fractional positions:
La 0.333 0.667 0.250
La 0.667 0.333 0.750
Pr 0.000 0.000 0.000
Pr 0.000 0.000 0.500
Ir 0.333 0.667 0.750
Ir 0.667 0.333 0.250
O 0.057 0.379 0.636
O 0.057 0.678 0.864
O 0.322 0.379 0.864
O 0.322 0.943 0.636
O 0.379 0.057 0.136
O 0.379 0.322 0.364
O 0.621 0.678 0.636
O 0.621 0.943 0.864
O 0.678 0.057 0.364
O 0.678 0.621 0.136
O 0.943 0.322 0.136
O 0.943 0.621 0.364

***

The following is a DFT calculation (PBE-GGA) of an optimized crystal structure of Ba2ReGeIr.

DOS at the Fermi energy ... 0.96 states/eV/atom
E above lowest polymorph ... 1.82 eV per formula unit
Formation energy from the elements ... 5.2 eV/f.u.
Crystal system ... tetragonal

a b c (Å): 6.237 6.237 4.562
angles (deg): 90.00 90.00 90.00
Fractional positions:
Ba 0.000 0.500 0.000
Ba 0.500 0.000 0.000
Re 0.000 0.000 0.500
Ge 0.500 0.500 0.000
Ir 0.500 0.500 0.500

***

The following is a DFT calculation (PBE-GGA) of an optimized crystal structure of NiTeH2.

DOS at the Fermi energy ... 0.63 states/eV/atom
E above lowest polymorph ... 1.81 eV per formula unit
Crystal system ... cubic

a b c (Å): 5.544 5.544 5.544
angles (deg): 90.00 90.00 90.00
Fractional positions:
Ni 0.000 0.000 0.000
Ni 0.000 0.500 0.500
Ni 0.500 0.000 0.500
Ni 0.500 0.500 0.000
Te 0.000 0.000 0.500
Te 0.000 0.500 0.000
Te 0.500 0.000 0.000
Te 0.500 0.500 0.500
H 0.250 0.250 0.250
H 0.250 0.250 0.750
H 0.250 0.750 0.250
H 0.250 0.750 0.750
H 0.750 0.250 0.250
H 0.750 0.250 0.750
H 0.750 0.750 0.250
H 0.750 0.750 0.750

***

Question: Look up the DOS at the Fermi energy of the second one.
Answer: 1.11 states/eV/atom

***

Question: Which value of DOS at the Fermi energy does entry 2 give?
Answer: 1.11 states/eV/atom